Entry 1:
# Mg2CdCu5Si2, relaxed, DFT PBE
# - size of the total moment (Bohr magnetons per cell) = 0.000
# - DOS(E_F) (states/eV/cell) = 8.0
# - formation energy (no corrections) (kJ/mol of atoms) = -2.9
# - space-group type = P4/mbm (127)
data_Mg2CdCu5Si2
_chemical_formula_sum 'Mg4 Cd2 Cu10 Si4'
_space_group_name_H-M_alt 'P 1'
_space_group_IT_number 1
_space_group_name_Hall 'P 1'
_cell_length_a 3.786
_cell_length_b 8.922
_cell_length_c 8.922
_cell_angle_alpha 90.00
_cell_angle_beta 90.00
_cell_angle_gamma 90.00
loop_
_atom_site_label
_atom_site_fract_x
_atom_site_fract_y
_atom_site_fract_z
Mg1 0.000 0.678 0.178
Mg2 0.000 0.322 0.822
Mg3 0.000 0.178 0.322
Mg4 0.000 0.822 0.678
Cd1 0.000 0.000 0.000
Cd2 0.000 0.500 0.500
Cu1 0.500 0.216 0.070
Cu2 0.500 0.784 0.930
Cu3 0.500 0.070 0.784
Cu4 0.500 0.716 0.430
Cu5 0.500 0.930 0.216
Cu6 0.500 0.284 0.570
Cu7 0.500 0.570 0.716
Cu8 0.500 0.430 0.284
Cu9 0.500 0.500 0.000
Cu10 0.500 0.000 0.500
Si1 0.000 0.117 0.617
Si2 0.000 0.883 0.383
Si3 0.000 0.617 0.883
Si4 0.000 0.383 0.117

Entry 2:
# Sr2Mg12CdCu3, relaxed, DFT PBE
# - size of the total moment (Bohr magnetons per cell) = 0.000
# - DOS(E_F) (states/eV/cell) = 11.8
# - formation energy (eV per atom) = 0.204
# - space-group type = R-3m (166)
data_Sr2Mg12CdCu3
_chemical_formula_sum 'Sr2 Mg12 Cd1 Cu3'
_space_group_name_H-M_alt 'P 1'
_space_group_IT_number 1
_space_group_name_Hall 'P 1'
_cell_length_a 8.629
_cell_length_b 8.629
_cell_length_c 8.629
_cell_angle_alpha 66.25
_cell_angle_beta 66.25
_cell_angle_gamma 66.25
loop_
_atom_site_label
_atom_site_fract_x
_atom_site_fract_y
_atom_site_fract_z
Sr1 0.593 0.593 0.593
Sr2 0.407 0.407 0.407
Mg1 0.290 0.290 0.885
Mg2 0.867 0.867 0.391
Mg3 0.391 0.867 0.867
Mg4 0.885 0.290 0.290
Mg5 0.867 0.391 0.867
Mg6 0.290 0.885 0.290
Mg7 0.710 0.710 0.115
Mg8 0.133 0.133 0.609
Mg9 0.609 0.133 0.133
Mg10 0.115 0.710 0.710
Mg11 0.133 0.609 0.133
Mg12 0.710 0.115 0.710
Cd1 0.000 0.000 0.000
Cu1 0.500 0.000 0.000
Cu2 0.000 0.500 0.000
Cu3 0.000 0.000 0.500

- Which value of DOS(E_F) does entry 2 give?
  11.8 states/eV/cell

- Look up the size of the total moment of the second one.
  0.000 Bohr magnetons per cell